# YTaOF2 | Alexandria | PBE | relaxed
data_YTaOF2
_symmetry_space_group_name_H-M 'P 1'
_symmetry_Int_Tables_number 1
_cell_length_a 4.327
_cell_length_b 4.327
_cell_length_c 4.620
_cell_angle_alpha 90.00
_cell_angle_beta 90.00
_cell_angle_gamma 90.00
loop_
_symmetry_equiv_pos_as_xyz
'x,y,z'
loop_
_atom_site_label
_atom_site_type_symbol
_atom_site_fract_x
_atom_site_fract_y
_atom_site_fract_z
Y1 Y 0.000 0.000 0.000
Ta1 Ta 0.500 0.500 0.500
O1 O 0.000 0.000 0.500
F1 F 0.000 0.500 0.000
F2 F 0.500 0.000 0.000
# - formation energy from raw total energies (kJ/mol of formula units) = -741
# - SG = P4/mmm, No. 123
# - DOS at the Fermi energy (states/eV per atom) = 0.759

=====

# ZnGaFe3 | Alexandria | PBE | relaxed
data_ZnGaFe3
_symmetry_space_group_name_H-M 'P 1'
_symmetry_Int_Tables_number 1
_cell_length_a 4.427
_cell_length_b 4.427
_cell_length_c 4.427
_cell_angle_alpha 90.00
_cell_angle_beta 90.00
_cell_angle_gamma 90.00
loop_
_symmetry_equiv_pos_as_xyz
'x,y,z'
loop_
_atom_site_label
_atom_site_type_symbol
_atom_site_fract_x
_atom_site_fract_y
_atom_site_fract_z
Zn1 Zn 0.000 0.000 0.000
Ga1 Ga 0.500 0.500 0.500
Fe1 Fe 0.000 0.500 0.500
Fe2 Fe 0.500 0.000 0.500
Fe3 Fe 0.500 0.500 0.000
# - SG = Pm-3m, No. 221
# - VASP energy (eV for the cell shown) = -24.7
# - DOS at the Fermi energy (states/eV per atom) = 1.738

=====

# ZrNb3O | Alexandria | PBE | relaxed
data_ZrNb3O
_symmetry_space_group_name_H-M 'P 1'
_symmetry_Int_Tables_number 1
_cell_length_a 4.920
_cell_length_b 4.920
_cell_length_c 4.920
_cell_angle_alpha 90.00
_cell_angle_beta 90.00
_cell_angle_gamma 90.00
loop_
_symmetry_equiv_pos_as_xyz
'x,y,z'
loop_
_atom_site_label
_atom_site_type_symbol
_atom_site_fract_x
_atom_site_fract_y
_atom_site_fract_z
Zr1 Zr 0.000 0.000 0.000
Nb1 Nb 0.000 0.000 0.500
Nb2 Nb 0.000 0.500 0.000
Nb3 Nb 0.500 0.000 0.000
O1 O 0.500 0.500 0.500
# - formation energy from raw total energies (kJ/mol of formula units) = 1050
# - SG = Pm-3m, No. 221
# - DOS at the Fermi energy (states/eV per atom) = 1.404

=====

# BaBe2Tl | Alexandria | PBE | relaxed
data_BaBe2Tl
_symmetry_space_group_name_H-M 'P 1'
_symmetry_Int_Tables_number 1
_cell_length_a 9.073
_cell_length_b 9.073
_cell_length_c 9.073
_cell_angle_alpha 147.72
_cell_angle_beta 147.72
_cell_angle_gamma 46.30
loop_
_symmetry_equiv_pos_as_xyz
'x,y,z'
loop_
_atom_site_label
_atom_site_type_symbol
_atom_site_fract_x
_atom_site_fract_y
_atom_site_fract_z
Ba1 Ba 0.375 0.625 0.750
Ba2 Ba 0.625 0.375 0.250
Be1 Be 0.000 0.000 0.000
Be2 Be 0.000 0.000 0.500
Be3 Be 0.000 0.500 0.000
Be4 Be 0.500 0.000 0.500
Tl1 Tl 0.125 0.875 0.250
Tl2 Tl 0.875 0.125 0.750
# - SG = I4_1/amd, No. 141
# - VASP energy (eV for the cell shown) = -20.3
# - DOS at the Fermi energy (states/eV per atom) = 0.981

=====

# ZrAlSi2 | Alexandria | PBE | relaxed
data_ZrAlSi2
_symmetry_space_group_name_H-M 'P 1'
_symmetry_Int_Tables_number 1
_cell_length_a 5.885
_cell_length_b 8.771
_cell_length_c 5.598
_cell_angle_alpha 90.00
_cell_angle_beta 90.00
_cell_angle_gamma 90.00
loop_
_symmetry_equiv_pos_as_xyz
'x,y,z'
loop_
_atom_site_label
_atom_site_type_symbol
_atom_site_fract_x
_atom_site_fract_y
_atom_site_fract_z
Zr1 Zr 0.160 0.250 0.123
Zr2 Zr 0.340 0.750 0.623
Zr3 Zr 0.660 0.250 0.377
Zr4 Zr 0.840 0.750 0.877
Al1 Al 0.114 0.250 0.620
Al2 Al 0.386 0.750 0.120
Al3 Al 0.614 0.250 0.880
Al4 Al 0.886 0.750 0.380
Si1 Si 0.176 0.511 0.875
Si2 Si 0.176 0.989 0.875
Si3 Si 0.324 0.011 0.375
Si4 Si 0.324 0.489 0.375
Si5 Si 0.676 0.511 0.625
Si6 Si 0.676 0.989 0.625
Si7 Si 0.824 0.011 0.125
Si8 Si 0.824 0.489 0.125
# - formation energy from raw total energies (kJ/mol of formula units) = -94
# - SG = Pnma, No. 62
# - DOS at the Fermi energy (states/eV per atom) = 0.262

=====

# ReTeRu2 | Alexandria | PBE | relaxed
data_ReTeRu2
_symmetry_space_group_name_H-M 'P 1'
_symmetry_Int_Tables_number 1
_cell_length_a 2.959
_cell_length_b 2.959
_cell_length_c 7.437
_cell_angle_alpha 90.00
_cell_angle_beta 90.00
_cell_angle_gamma 90.00
loop_
_symmetry_equiv_pos_as_xyz
'x,y,z'
loop_
_atom_site_label
_atom_site_type_symbol
_atom_site_fract_x
_atom_site_fract_y
_atom_site_fract_z
Re1 Re 0.000 0.000 0.000
Te1 Te 0.000 0.000 0.500
Ru1 Ru 0.500 0.500 0.229
Ru2 Ru 0.500 0.500 0.771
# - formation energy from raw total energies (kJ/mol of formula units) = 132
# - SG = P4/mmm, No. 123
# - DOS at the Fermi energy (states/eV per atom) = 0.941

=====

# TlCrSN2 | Alexandria | PBE | relaxed
data_TlCrSN2
_symmetry_space_group_name_H-M 'P 1'
_symmetry_Int_Tables_number 1
_cell_length_a 3.783
_cell_length_b 3.783
_cell_length_c 5.145
_cell_angle_alpha 90.00
_cell_angle_beta 90.00
_cell_angle_gamma 90.00
loop_
_symmetry_equiv_pos_as_xyz
'x,y,z'
loop_
_atom_site_label
_atom_site_type_symbol
_atom_site_fract_x
_atom_site_fract_y
_atom_site_fract_z
Tl1 Tl 0.000 0.000 0.000
Cr1 Cr 0.500 0.500 0.500
S1 S 0.500 0.500 0.000
N1 N 0.000 0.500 0.500
N2 N 0.500 0.000 0.500
# - formation energy from raw total energies (kJ/mol of formula units) = 213
# - SG = P4/mmm, No. 123
# - DOS at the Fermi energy (states/eV per atom) = 0.574

=====

# NbClF3 | Alexandria | PBE | relaxed
data_NbClF3
_symmetry_space_group_name_H-M 'P 1'
_symmetry_Int_Tables_number 1
_cell_length_a 4.425
_cell_length_b 4.425
_cell_length_c 4.425
_cell_angle_alpha 90.00
_cell_angle_beta 90.00
_cell_angle_gamma 90.00
loop_
_symmetry_equiv_pos_as_xyz
'x,y,z'
loop_
_atom_site_label
_atom_site_type_symbol
_atom_site_fract_x
_atom_site_fract_y
_atom_site_fract_z
Nb1 Nb 0.000 0.000 0.000
Cl1 Cl 0.500 0.500 0.500
F1 F 0.000 0.500 0.500
F2 F 0.500 0.000 0.500
F3 F 0.500 0.500 0.000
# - formation energy from raw total energies (kJ/mol of formula units) = 72
# - SG = Pm-3m, No. 221
# - DOS at the Fermi energy (states/eV per atom) = 1.302

=====

# Tb3YEr4Se8 | Alexandria | PBE | relaxed
data_Tb3YEr4Se8
_symmetry_space_group_name_H-M 'P 1'
_symmetry_Int_Tables_number 1
_cell_length_a 8.146
_cell_length_b 8.146
_cell_length_c 8.146
_cell_angle_alpha 59.78
_cell_angle_beta 59.78
_cell_angle_gamma 59.78
loop_
_symmetry_equiv_pos_as_xyz
'x,y,z'
loop_
_atom_site_label
_atom_site_type_symbol
_atom_site_fract_x
_atom_site_fract_y
_atom_site_fract_z
Tb1 Tb 0.000 0.500 0.500
Tb2 Tb 0.500 0.000 0.500
Tb3 Tb 0.500 0.500 0.000
Y1 Y 0.000 0.000 0.000
Er1 Er 0.000 0.000 0.500
Er2 Er 0.000 0.500 0.000
Er3 Er 0.500 0.000 0.000
Er4 Er 0.500 0.500 0.500
Se1 Se 0.248 0.248 0.248
Se2 Se 0.248 0.748 0.748
Se3 Se 0.252 0.252 0.752
Se4 Se 0.252 0.752 0.252
Se5 Se 0.748 0.248 0.748
Se6 Se 0.748 0.748 0.248
Se7 Se 0.752 0.252 0.252
Se8 Se 0.752 0.752 0.752
# - formation energy from raw total energies (kJ/mol of formula units) = -2668
# - SG = R-3m, No. 166
# - DOS at the Fermi energy (states/eV per atom) = 0.644

=====

# LaMnSiBi | Alexandria | PBE | relaxed
data_LaMnSiBi
_symmetry_space_group_name_H-M 'P 1'
_symmetry_Int_Tables_number 1
_cell_length_a 6.835
_cell_length_b 6.835
_cell_length_c 6.835
_cell_angle_alpha 35.60
_cell_angle_beta 35.60
_cell_angle_gamma 35.60
loop_
_symmetry_equiv_pos_as_xyz
'x,y,z'
loop_
_atom_site_label
_atom_site_type_symbol
_atom_site_fract_x
_atom_site_fract_y
_atom_site_fract_z
La1 La 0.000 0.000 0.000
Mn1 Mn 0.202 0.202 0.202
Si1 Si 0.575 0.575 0.575
Bi1 Bi 0.794 0.794 0.794
# - formation energy from raw total energies (kJ/mol of formula units) = -120
# - SG = R3m, No. 160
# - DOS at the Fermi energy (states/eV per atom) = 0.481

=====

# AcDyEr | Alexandria | PBE | relaxed
data_AcDyEr
_symmetry_space_group_name_H-M 'P 1'
_symmetry_Int_Tables_number 1
_cell_length_a 8.089
_cell_length_b 8.089
_cell_length_c 8.089
_cell_angle_alpha 153.42
_cell_angle_beta 153.42
_cell_angle_gamma 37.94
loop_
_symmetry_equiv_pos_as_xyz
'x,y,z'
loop_
_atom_site_label
_atom_site_type_symbol
_atom_site_fract_x
_atom_site_fract_y
_atom_site_fract_z
Ac1 Ac 0.000 0.000 0.000
Dy1 Dy 0.674 0.674 0.000
Er1 Er 0.327 0.327 0.000
# - SG = I4mm, No. 107
# - VASP energy (eV for the cell shown) = -13.1
# - DOS at the Fermi energy (states/eV per atom) = 1.355

=====

# IrS2Cl | Alexandria | PBE | relaxed
data_IrS2Cl
_symmetry_space_group_name_H-M 'P 1'
_symmetry_Int_Tables_number 1
_cell_length_a 12.009
_cell_length_b 12.009
_cell_length_c 12.009
_cell_angle_alpha 13.13
_cell_angle_beta 13.13
_cell_angle_gamma 13.13
loop_
_symmetry_equiv_pos_as_xyz
'x,y,z'
loop_
_atom_site_label
_atom_site_type_symbol
_atom_site_fract_x
_atom_site_fract_y
_atom_site_fract_z
Ir1 Ir 0.000 0.000 0.000
S1 S 0.064 0.064 0.064
S2 S 0.936 0.936 0.936
Cl1 Cl 0.500 0.500 0.500
# - formation energy from raw total energies (kJ/mol of formula units) = 140
# - SG = R-3m, No. 166
# - DOS at the Fermi energy (states/eV per atom) = 1.281

=====

# RbAg2Sn2 | Alexandria | PBE | relaxed
data_RbAg2Sn2
_symmetry_space_group_name_H-M 'P 1'
_symmetry_Int_Tables_number 1
_cell_length_a 6.599
_cell_length_b 6.599
_cell_length_c 5.371
_cell_angle_alpha 105.88
_cell_angle_beta 105.88
_cell_angle_gamma 42.84
loop_
_symmetry_equiv_pos_as_xyz
'x,y,z'
loop_
_atom_site_label
_atom_site_type_symbol
_atom_site_fract_x
_atom_site_fract_y
_atom_site_fract_z
Rb1 Rb 0.000 0.000 0.000
Ag1 Ag 0.259 0.259 0.861
Ag2 Ag 0.741 0.741 0.139
Sn1 Sn 0.336 0.336 0.421
Sn2 Sn 0.664 0.664 0.579
# - SG = C2/m, No. 12
# - VASP energy (eV for the cell shown) = -15.1
# - DOS at the Fermi energy (states/eV per atom) = 0.381